(1)
Material: HoZr3Ir2
Method: DFT, PBE
State: relaxed

a b c (Å): 4.537 8.273 6.857
angles (deg): 90.00 90.00 90.00
Sites, in units of the cell vectors:
Ho (0.000, 0.073, 0.000)
Ho (0.000, 0.927, 0.500)
Zr (0.000, 0.336, 0.637)
Zr (0.000, 0.664, 0.137)
Zr (0.500, 0.174, 0.341)
Zr (0.500, 0.424, 0.979)
Zr (0.500, 0.576, 0.479)
Zr (0.500, 0.826, 0.841)
Ir (0.000, 0.343, 0.244)
Ir (0.000, 0.657, 0.744)
Ir (0.500, 0.167, 0.734)
Ir (0.500, 0.833, 0.234)

Output
Energy   -8.69 eV/atom
Fermi-level density of states   0.95 states/eV per atom
SG   No. 26
E_form   -0.70 eV/atom

---

(2)
Material: Ho4ZrIr5
Method: DFT, PBE
State: relaxed

a b c (Å): 3.341 3.341 17.504
angles (deg): 90.00 90.00 90.00
Sites, in units of the cell vectors:
Ho (0.000, 0.000, 0.101)
Ho (0.000, 0.000, 0.303)
Ho (0.000, 0.000, 0.697)
Ho (0.000, 0.000, 0.899)
Zr (0.000, 0.000, 0.500)
Ir (0.500, 0.500, 0.000)
Ir (0.500, 0.500, 0.204)
Ir (0.500, 0.500, 0.411)
Ir (0.500, 0.500, 0.589)
Ir (0.500, 0.500, 0.796)

Output
Energy   -7.96 eV/atom
Fermi-level density of states   0.51 states/eV per atom
SG   No. 123
E_form   -0.84 eV/atom

---

(3)
Material: HoZr4Ir5
Method: DFT, PBE
State: relaxed

a b c (Å): 3.335 3.335 16.675
angles (deg): 90.00 90.00 90.00
Sites, in units of the cell vectors:
Ho (0.000, 0.000, 0.000)
Zr (0.000, 0.000, 0.204)
Zr (0.000, 0.000, 0.402)
Zr (0.000, 0.000, 0.598)
Zr (0.000, 0.000, 0.796)
Ir (0.500, 0.500, 0.113)
Ir (0.500, 0.500, 0.305)
Ir (0.500, 0.500, 0.500)
Ir (0.500, 0.500, 0.695)
Ir (0.500, 0.500, 0.887)

Output
Energy   -9.11 eV/atom
Fermi-level density of states   0.58 states/eV per atom
SG   No. 123
E_form   -0.80 eV/atom

---

(4)
Material: HoZr2Ir
Method: DFT, PBE
State: relaxed

a b c (Å): 4.866 4.866 4.866
angles (deg): 60.00 60.00 60.00
Sites, in units of the cell vectors:
Ho (0.000, 0.000, 0.000)
Zr (0.250, 0.250, 0.250)
Zr (0.750, 0.750, 0.750)
Ir (0.500, 0.500, 0.500)

Output
Energy   -7.85 eV/atom
Fermi-level density of states   1.17 states/eV per atom
SG   No. 225
E_form   -0.22 eV/atom

---

(5)
Material: K3La2HoO6
Method: DFT, PBE
State: relaxed

a b c (Å): 6.304 6.304 6.626
angles (deg): 99.10 99.10 120.03
Sites, in units of the cell vectors:
K (0.000, 0.000, 0.000)
K (0.337, 0.663, 0.000)
K (0.663, 0.337, 0.000)
La (0.167, 0.833, 0.500)
La (0.833, 0.167, 0.500)
Ho (0.500, 0.500, 0.500)
O (0.119, 0.437, 0.311)
O (0.244, 0.244, 0.688)
O (0.437, 0.119, 0.311)
O (0.563, 0.881, 0.689)
O (0.756, 0.756, 0.312)
O (0.881, 0.563, 0.689)

Output
Energy   -6.65 eV/atom
Fermi-level density of states   0.00 states/eV per atom
Raw formation energy   -32.33 eV per formula unit
SG   No. 12

---

(6)
Material: KLaHo4S8
Method: DFT, PBE
State: relaxed

a b c (Å): 8.366 8.366 8.366
angles (deg): 58.48 58.48 58.48
Sites, in units of the cell vectors:
K (0.000, 0.000, 0.000)
La (0.367, 0.367, 0.367)
Ho (0.366, 0.366, 0.884)
Ho (0.366, 0.884, 0.366)
Ho (0.745, 0.745, 0.745)
Ho (0.884, 0.366, 0.366)
S (0.129, 0.129, 0.572)
S (0.129, 0.572, 0.129)
S (0.138, 0.138, 0.138)
S (0.138, 0.620, 0.620)
S (0.572, 0.129, 0.129)
S (0.614, 0.614, 0.614)
S (0.620, 0.138, 0.620)
S (0.620, 0.620, 0.138)

Output
Energy   -6.04 eV/atom
Fermi-level density of states   0.00 states/eV per atom
Raw formation energy   -27.21 eV per formula unit
SG   No. 160

---

(7)
Material: K3La2HoS6
Method: DFT, PBE
State: relaxed

a b c (Å): 7.288 7.288 7.764
angles (deg): 99.01 99.01 120.00
Sites, in units of the cell vectors:
K (0.000, 0.000, 0.000)
K (0.333, 0.667, 0.000)
K (0.667, 0.333, 0.000)
La (0.167, 0.833, 0.500)
La (0.833, 0.167, 0.500)
Ho (0.500, 0.500, 0.500)
S (0.111, 0.431, 0.295)
S (0.248, 0.248, 0.705)
S (0.431, 0.111, 0.295)
S (0.569, 0.889, 0.705)
S (0.752, 0.752, 0.295)
S (0.889, 0.569, 0.705)

Output
Energy   -5.45 eV/atom
Fermi-level density of states   0.00 states/eV per atom
Raw formation energy   -22.86 eV per formula unit
SG   No. 12

---

(8)
Material: KLa2HoS4
Method: DFT, PBE
State: relaxed

a b c (Å): 7.132 4.108 7.254
angles (deg): 90.00 108.98 90.00
Sites, in units of the cell vectors:
K (0.000, 0.000, 0.000)
La (0.500, 0.000, 0.500)
La (0.500, 0.500, 0.000)
Ho (0.000, 0.500, 0.500)
S (0.238, 0.000, 0.732)
S (0.253, 0.500, 0.270)
S (0.747, 0.500, 0.730)
S (0.762, 0.000, 0.268)

Output
Energy   -5.93 eV/atom
Fermi-level density of states   0.38 states/eV per atom
Raw formation energy   -15.37 eV per formula unit
SG   No. 10

---

(9)
Material: K4La3HoS8
Method: DFT, PBE
State: relaxed

a b c (Å): 8.845 8.845 8.845
angles (deg): 57.14 57.14 57.14
Sites, in units of the cell vectors:
K (0.000, 0.000, 0.000)
K (0.000, 0.500, 0.500)
K (0.500, 0.000, 0.500)
K (0.500, 0.500, 0.000)
La (0.000, 0.000, 0.500)
La (0.000, 0.500, 0.000)
La (0.500, 0.000, 0.000)
Ho (0.500, 0.500, 0.500)
S (0.237, 0.237, 0.237)
S (0.247, 0.729, 0.729)
S (0.271, 0.271, 0.753)
S (0.271, 0.753, 0.271)
S (0.729, 0.247, 0.729)
S (0.729, 0.729, 0.247)
S (0.753, 0.271, 0.271)
S (0.763, 0.763, 0.763)

Output
Energy   -5.45 eV/atom
Fermi-level density of states   0.00 states/eV per atom
Raw formation energy   -30.49 eV per formula unit
SG   No. 166

---

(10)
Material: K3LaHo2Se6
Method: DFT, PBE
State: relaxed

a b c (Å): 7.412 7.412 8.073
angles (deg): 98.81 98.81 120.01
Sites, in units of the cell vectors:
K (0.000, 0.000, 0.000)
K (0.335, 0.665, 0.000)
K (0.665, 0.335, 0.000)
La (0.500, 0.500, 0.500)
Ho (0.167, 0.833, 0.500)
Ho (0.833, 0.167, 0.500)
Se (0.085, 0.431, 0.293)
Se (0.223, 0.223, 0.706)
Se (0.431, 0.085, 0.293)
Se (0.569, 0.915, 0.707)
Se (0.777, 0.777, 0.294)
Se (0.915, 0.569, 0.707)

Output
Energy   -4.97 eV/atom
Fermi-level density of states   0.00 states/eV per atom
Raw formation energy   -21.36 eV per formula unit
SG   No. 12

---

(11)
Material: K4La3HoSe8
Method: DFT, PBE
State: relaxed

a b c (Å): 9.204 9.204 9.204
angles (deg): 56.86 56.86 56.86
Sites, in units of the cell vectors:
K (0.000, 0.000, 0.000)
K (0.000, 0.500, 0.500)
K (0.500, 0.000, 0.500)
K (0.500, 0.500, 0.000)
La (0.000, 0.000, 0.500)
La (0.000, 0.500, 0.000)
La (0.500, 0.000, 0.000)
Ho (0.500, 0.500, 0.500)
Se (0.238, 0.238, 0.238)
Se (0.248, 0.730, 0.730)
Se (0.270, 0.270, 0.752)
Se (0.270, 0.752, 0.270)
Se (0.730, 0.248, 0.730)
Se (0.730, 0.730, 0.248)
Se (0.752, 0.270, 0.270)
Se (0.762, 0.762, 0.762)

Output
Energy   -5.03 eV/atom
Fermi-level density of states   0.00 states/eV per atom
Raw formation energy   -28.93 eV per formula unit
SG   No. 166

---

(12)
Material: KLa2HoSe4
Method: DFT, PBE
State: relaxed

a b c (Å): 7.416 4.266 7.536
angles (deg): 90.00 108.91 90.00
Sites, in units of the cell vectors:
K (0.000, 0.000, 0.000)
La (0.500, 0.000, 0.500)
La (0.500, 0.500, 0.000)
Ho (0.000, 0.500, 0.500)
Se (0.238, 0.000, 0.734)
Se (0.252, 0.500, 0.267)
Se (0.748, 0.500, 0.733)
Se (0.762, 0.000, 0.266)

Output
Energy   -5.47 eV/atom
Fermi-level density of states   0.40 states/eV per atom
Raw formation energy   -14.29 eV per formula unit
SG   No. 10